! GGA+U Pr2MnFeO5, relaxed; values from VASP
! - space-group type = Cmc2_1 (36)
! - total energy (eV/atom) = -7.71
! - DOS(E_F) (states/eV/atom) = 0.0000
&SYSTEM
  ibrav = 0, nat = 18, ntyp = 4
/
ATOMIC_SPECIES
Pr 140.91 Pr.upf
Mn 54.94 Mn.upf
Fe 55.84 Fe.upf
O 16.00 O.upf
CELL_PARAMETERS angstrom
1.756 -6.824 0.000
1.756 6.824 0.000
0.000 0.000 9.989
ATOMIC_POSITIONS crystal
Pr 0.114 0.886 0.500
Pr 0.139 0.861 0.094
Pr 0.861 0.139 0.594
Pr 0.886 0.114 0.000
Mn 0.466 0.534 0.278
Mn 0.534 0.466 0.778
Fe 0.213 0.787 0.812
Fe 0.787 0.213 0.312
O 0.063 0.937 0.867
O 0.283 0.717 0.463
O 0.312 0.688 0.166
O 0.364 0.636 0.810
O 0.494 0.505 0.578
O 0.505 0.494 0.078
O 0.636 0.364 0.310
O 0.688 0.312 0.666
O 0.717 0.283 0.963
O 0.937 0.063 0.367